DFT (PBE) results for a relaxed structure of Ce3Bi2H2.

Values from the calculation:
Space group ... P2_1/c (14)
Energy relative to the lowest polymorph listed for this composition ... 0 meV per atom

Cell lengths 8.4175, 6.2303, 6.6834 Å; angles 90.00, 69.67, 90.00 degrees
Last column: nearest neighbours and their distance in Å.
Fractional coordinates of all 14 atoms:
Ce 0.5000 0.5000 0.0000  2 H 2.34
Ce 0.0000 0.0000 0.0000  2 H 2.34
Ce 0.7859 0.1227 0.6308  3 H 2.35-2.44
Ce 0.7141 0.6227 0.3692  3 H 2.35-2.44
Ce 0.2859 0.3773 0.6308  3 H 2.35-2.44
Ce 0.2141 0.8773 0.3692  3 H 2.35-2.44
Bi 0.8947 0.6027 0.7755  6 Ce 3.18-3.55, 4 H 3.25-3.48
Bi 0.3947 0.8973 0.7755  6 Ce 3.18-3.55, 4 H 3.25-3.48
Bi 0.6053 0.1027 0.2245  6 Ce 3.18-3.55, 4 H 3.25-3.48
Bi 0.1053 0.3973 0.2245  6 Ce 3.18-3.55, 4 H 3.25-3.48
H 0.5678 0.3869 0.6468  4 Ce 2.34-2.44
H 0.9322 0.8869 0.3532  4 Ce 2.34-2.44
H 0.0678 0.1131 0.6468  4 Ce 2.34-2.44
H 0.4322 0.6131 0.3532  4 Ce 2.34-2.44

DFT (PBE) results for a relaxed structure of Ce4BiH2.

Values from the calculation:
VASP energy ... -5.239 eV/atom
Space group ... P1 (1)

Cell lengths 8.4386, 8.5106, 6.3063 Å; angles 100.77, 110.69, 123.73 degrees
Last column: nearest neighbours and their distance in Å.
Fractional coordinates of all 14 atoms:
Ce 0.8676 0.2596 0.2074  2 H 2.34-2.45
Ce 0.3832 0.4979 0.2843  3 H 2.28-2.51
Ce 0.8806 0.5164 0.7324  2 H 2.31-2.55
Ce 0.7884 0.1451 0.5577  1 H 2.30
Ce 0.3804 0.0078 0.2173  2 H 2.28-2.54
Ce 0.3647 0.2428 0.7657  3 H 2.35-2.60
Ce 0.4638 0.6249 0.9430  2 H 2.25-2.41
Ce 0.8648 0.7456 0.2801  2 H 2.36-2.57
Bi 0.3123 0.8198 0.6276  1 H 3.03, 4 Ce 3.18-3.34
Bi 0.9311 0.9413 0.8725  10 Ce 3.21-3.59, 1 H 3.50
H 0.7573 0.4292 0.0006  4 Ce 2.31-2.45, 1 H 2.44
H 0.4538 0.7907 0.2534  4 Ce 2.25-2.30
H 0.5973 0.3838 0.2638  1 H 2.44, 5 Ce 2.51-2.60
H 0.2048 0.3450 0.4941  4 Ce 2.34-2.41

DFT (PBE) results for a relaxed structure of Ce2BiH2.

Values from the calculation:
VASP energy ... -5.131 eV/atom
Space group ... I4/mmm (139)

Cell lengths 4.1973, 4.1974, 6.3145 Å; angles 109.41, 109.41, 90.00 degrees
Last column: nearest neighbours and their distance in Å.
Fractional coordinates of all 5 atoms:
Ce 0.6535 0.6535 0.3071  4 H 2.36
Ce 0.3465 0.3465 0.6929  4 H 2.36
Bi 0.0000 0.0000 0.0000  8 Ce 3.43, 8 H 3.49
H 0.7500 0.2500 0.5000  4 Ce 2.36
H 0.2500 0.7500 0.5000  4 Ce 2.36

DFT (PBE) results for a relaxed structure of Ce3BiH4.

Values from the calculation:
VASP energy ... -4.985 eV/atom
Space group ... P4/mmm (123)

Cell lengths 4.0845, 4.0845, 8.2920 Å; angles 90.00, 90.00, 90.00 degrees
Last column: nearest neighbours and their distance in Å.
Fractional coordinates of all 8 atoms:
Ce 0.0000 0.0000 0.0000  8 H 2.39
Ce 0.5000 0.5000 0.2928  4 H 2.36
Ce 0.5000 0.5000 0.7072  4 H 2.36
Bi 0.0000 0.0000 0.5000  8 Ce 3.36, 8 H 3.54
H 0.5000 0.0000 0.1508  4 Ce 2.36-2.39, 1 H 2.50
H 0.0000 0.5000 0.1508  4 Ce 2.36-2.39, 1 H 2.50
H 0.5000 0.0000 0.8492  4 Ce 2.36-2.39, 1 H 2.50
H 0.0000 0.5000 0.8492  4 Ce 2.36-2.39, 1 H 2.50

DFT (PBE) results for a relaxed structure of Ce5Bi2H4.

Values from the calculation:
VASP energy ... -4.983 eV/atom
Space group ... C2/m (12)

Cell lengths 6.4386, 6.8526, 6.7112 Å; angles 87.13, 61.34, 61.98 degrees
Last column: nearest neighbours and their distance in Å.
Fractional coordinates of all 11 atoms:
Ce 0.2494 0.2133 0.8447  4 H 2.43-2.51
Ce 0.7506 0.7867 0.1553  4 H 2.43-2.51
Ce 0.0000 0.5000 0.5000  4 H 2.35-2.63
Ce 0.6926 0.2133 0.8447  4 H 2.43-2.51
Ce 0.3074 0.7867 0.1553  4 H 2.43-2.51
Bi 0.2883 0.7510 0.6724  3 H 3.20-3.39, 1 Bi 3.25, 6 Ce 3.28-3.41
Bi 0.7117 0.2490 0.3276  3 H 3.20-3.39, 1 Bi 3.25, 6 Ce 3.28-3.41
H 0.3535 0.1301 0.1630  2 H 2.19-2.40
H 0.6465 0.8699 0.8370  2 H 2.19-2.40
H 0.8055 0.4914 0.8976  5 Ce 2.35-2.51, 1 H 2.40
H 0.1945 0.5086 0.1024  5 Ce 2.35-2.51, 1 H 2.40

DFT (PBE) results for a relaxed structure of Ce7Bi3H2.

Values from the calculation:
Space group ... I4/mmm (139)
Energy relative to the lowest polymorph listed for this composition ... 0 meV per atom

Cell lengths 4.6710, 4.6710, 14.2621 Å; angles 99.42, 99.42, 90.00 degrees
Last column: nearest neighbours and their distance in Å.
Fractional coordinates of all 12 atoms:
Ce 0.0000 0.0000 0.0000  2 H 3.17, 4 Bi 3.30, 8 Ce 3.45
Ce 0.9087 0.4087 0.8174  2 H 2.42
Ce 0.4087 0.9087 0.8174  2 H 2.42
Ce 0.0913 0.5913 0.1826  2 H 2.42
Ce 0.5913 0.0913 0.1826  2 H 2.42
Ce 0.1997 0.1997 0.3994  1 H 2.38
Ce 0.8003 0.8003 0.6006  1 H 2.38
Bi 0.3191 0.3191 0.6382  9 Ce 3.31-3.41
Bi 0.6809 0.6809 0.3618  9 Ce 3.31-3.41
Bi 0.5000 0.5000 0.0000  12 Ce 3.30-3.45
H 0.1141 0.1141 0.2282  5 Ce 2.38-2.42
H 0.8859 0.8859 0.7718  5 Ce 2.38-2.42

DFT (PBE) results for a relaxed structure of Ce3Bi2H.

Values from the calculation:
Space group ... C2/c (15)
Energy relative to the lowest polymorph listed for this composition ... 146 meV per atom

Cell lengths 6.4259, 8.5006, 7.2580 Å; angles 106.98, 116.27, 90.00 degrees
Last column: nearest neighbours and their distance in Å.
Fractional coordinates of all 12 atoms:
Ce 0.4873 0.2500 0.0000  1 H 2.47
Ce 0.5127 0.7500 0.0000  1 H 2.47
Ce 0.1128 0.0578 0.2288  2 H 2.63, 1 Ce 2.82
Ce 0.8840 0.4422 0.7712  2 H 2.63, 1 Ce 2.82
Ce 0.1160 0.5578 0.2288  2 H 2.63, 1 Ce 2.82
Ce 0.8872 0.9422 0.7712  2 H 2.63, 1 Ce 2.82
Bi 0.6937 0.5955 0.3830  6 Ce 3.17-3.35
Bi 0.6893 0.0955 0.3830  6 Ce 3.17-3.35
Bi 0.3107 0.9045 0.6170  6 Ce 3.17-3.35
Bi 0.3063 0.4045 0.6170  6 Ce 3.17-3.35
H 0.8977 0.7500 0.0000  5 Ce 2.47-2.63
H 0.1023 0.2500 0.0000  5 Ce 2.47-2.63

DFT (PBE) results for a relaxed structure of Ce3BiH2.

Values from the calculation:
Space group ... I4/mmm (139)
Energy relative to the lowest polymorph listed for this composition ... 0 meV per atom

Cell lengths 4.8102, 4.8102, 6.3184 Å; angles 112.37, 112.37, 90.00 degrees
Last column: nearest neighbours and their distance in Å.
Fractional coordinates of all 6 atoms:
Ce 0.7500 0.2500 0.5000  4 H 2.44
Ce 0.5000 0.5000 0.0000  2 H 2.27
Ce 0.2500 0.7500 0.5000  4 H 2.44
Bi 0.0000 0.0000 0.0000  2 H 3.06, 4 Ce 3.40
H 0.7128 0.7128 0.4256  5 Ce 2.27-2.44
H 0.2872 0.2872 0.5744  5 Ce 2.27-2.44

Taking the records one at a time from the top gives Fermi-level density of states values of 2.618; 2.135; 2.552; 2.559; 2.114; 2.663; 2.394; 2.199 states/eV per atom.
Taking the records one at a time from the top gives spin magnetization values of 8.0; 4.9; 2.7; 2.9; 6.8; 6.4; 5.6; 3.3 μB/cell.